A relaxed NaNbZnNi crystal. Source: OQMD, functional GGA-PBE.

Values from the calculation:
Total DFT energy (no corrections) in eV per atom: -4.1902
Energy relative to the lowest polymorph listed for this composition in eV per formula unit: 0.07
Calculated density in Mg/m³: 6.3
Total moment in μB per atom: 0.0011

a b c (Å): 4.472 4.472 4.472
angles (deg): 60.00 60.00 60.00
Positions (direct):
Na1 0.000 0.000 0.000
Nb1 0.500 0.500 0.500
Zn1 0.750 0.750 0.750
Ni1 0.250 0.250 0.250

=====

A relaxed NaNpNb crystal. Source: OQMD, functional GGA-PBE.

Values from the calculation:
Total DFT energy (no corrections) in eV per atom: -6.4095
Energy relative to the lowest polymorph listed for this composition in eV per formula unit: 0.00
Calculated density in Mg/m³: 8.3
Total moment in μB per atom: 0.9655

a b c (Å): 4.642 4.642 4.642
angles (deg): 60.00 60.00 60.00
Positions (direct):
Na1 0.000 0.000 0.000
Np1 0.500 0.500 0.500
Nb1 0.250 0.250 0.250

=====

A relaxed NaNpNb crystal. Source: OQMD, functional GGA-PBE.

Values from the calculation:
Total DFT energy (no corrections) in eV per atom: -6.1559
Energy relative to the lowest polymorph listed for this composition in eV per formula unit: 0.76
Calculated density in Mg/m³: 8.3
Total moment in μB per atom: 1.6658

a b c (Å): 4.644 4.644 4.644
angles (deg): 60.00 60.00 60.00
Positions (direct):
Na1 0.000 0.000 0.000
Np1 0.250 0.250 0.250
Nb1 0.500 0.500 0.500

=====

A relaxed NaNb10O18 crystal. Source: OQMD, functional GGA-PBE.

Values from the calculation:
Total DFT energy (no corrections) in eV per atom: -8.9516
Calculated density in Mg/m³: 5.7
Total moment in μB per atom: 0.0346

a b c (Å): 7.885 9.366 10.347
angles (deg): 90.00 110.37 90.00
Positions (direct):
Na1 0.000 0.000 0.000
Na2 0.000 0.500 0.500
Nb1 0.004 0.117 0.668
Nb2 0.004 0.383 0.168
Nb3 0.182 0.630 0.123
Nb4 0.182 0.870 0.623
Nb5 0.197 0.127 0.480
Nb6 0.197 0.373 0.980
Nb7 0.397 0.114 0.271
Nb8 0.397 0.386 0.771
Nb9 0.398 0.629 0.438
Nb10 0.398 0.871 0.938
Nb11 0.602 0.129 0.062
Nb12 0.602 0.371 0.562
Nb13 0.603 0.614 0.229
Nb14 0.603 0.886 0.729
Nb15 0.803 0.627 0.020
Nb16 0.803 0.873 0.520
Nb17 0.818 0.130 0.377
Nb18 0.818 0.370 0.877
Nb19 0.996 0.617 0.832
Nb20 0.996 0.883 0.332
O1 0.008 0.237 0.849
O2 0.008 0.263 0.349
O3 0.196 0.746 0.461
O4 0.196 0.754 0.961
O5 0.197 0.005 0.301
O6 0.197 0.495 0.801
O7 0.201 0.245 0.144
O8 0.201 0.255 0.644
O9 0.201 0.510 0.304
O10 0.201 0.990 0.804
O11 0.393 0.005 0.099
O12 0.393 0.495 0.599
O13 0.401 0.502 0.105
O14 0.401 0.998 0.605
O15 0.412 0.740 0.273
O16 0.412 0.760 0.773
O17 0.414 0.246 0.431
O18 0.414 0.254 0.931
O19 0.586 0.746 0.069
O20 0.586 0.754 0.569
O21 0.588 0.240 0.227
O22 0.588 0.260 0.727
O23 0.599 0.002 0.395
O24 0.599 0.498 0.895
O25 0.607 0.505 0.401
O26 0.607 0.995 0.901
O27 0.799 0.010 0.196
O28 0.799 0.490 0.696
O29 0.799 0.745 0.356
O30 0.799 0.755 0.856
O31 0.803 0.505 0.199
O32 0.803 0.995 0.699
O33 0.804 0.246 0.039
O34 0.804 0.254 0.539
O35 0.992 0.737 0.651
O36 0.992 0.763 0.151

=====

A relaxed NaNb2O4 crystal. Source: OQMD, functional GGA-PBE.

Values from the calculation:
Total DFT energy (no corrections) in eV per atom: -7.9846
Calculated density in Mg/m³: 5.1
Total moment in μB per atom: 0.1329

a b c (Å): 6.324 6.324 6.324
angles (deg): 60.00 60.00 60.00
Positions (direct):
Na1 0.125 0.125 0.125
Na2 0.875 0.875 0.875
Nb1 0.000 0.500 0.500
Nb2 0.500 0.000 0.500
Nb3 0.500 0.500 0.000
Nb4 0.500 0.500 0.500
O1 0.263 0.263 0.263
O2 0.263 0.263 0.711
O3 0.263 0.711 0.263
O4 0.289 0.737 0.737
O5 0.711 0.263 0.263
O6 0.737 0.289 0.737
O7 0.737 0.737 0.289
O8 0.737 0.737 0.737

=====

A relaxed Na2Nb2O5 crystal. Source: OQMD, functional GGA-PBE.

Values from the calculation:
Total DFT energy (no corrections) in eV per atom: -7.4087
Calculated density in Mg/m³: 4.1
Total moment in μB per atom: 0.0004

a b c (Å): 5.120 5.135 5.932
angles (deg): 66.08 67.69 65.78
Positions (direct):
Na1 0.000 0.000 0.000
Na2 0.283 0.277 0.170
Nb1 0.470 0.481 0.555
Nb2 0.785 0.800 0.631
O1 0.052 0.469 0.815
O2 0.201 0.783 0.353
O3 0.433 0.675 0.815
O4 0.622 0.094 0.823
O5 0.669 0.204 0.347

=====

A relaxed NaNb2PO8 crystal. Source: OQMD, functional GGA-PBE.

Values from the calculation:
Total DFT energy (no corrections) in eV per atom: -7.9792
Calculated density in Mg/m³: 3.8
Total moment in μB per atom: 0.0000

a b c (Å): 6.660 5.383 17.989
angles (deg): 90.00 90.30 90.00
Positions (direct):
Na1 0.211 0.000 0.285
Na2 0.274 0.079 0.786
Na3 0.726 0.579 0.214
Na4 0.789 0.500 0.715
Nb1 0.014 0.540 0.375
Nb2 0.156 0.040 0.962
Nb3 0.342 0.045 0.460
Nb4 0.481 0.547 0.873
Nb5 0.519 0.047 0.127
Nb6 0.658 0.545 0.540
Nb7 0.844 0.540 0.038
Nb8 0.986 0.040 0.625
P1 0.204 0.520 0.188
P2 0.298 0.566 0.685
P3 0.702 0.066 0.315
P4 0.796 0.020 0.812
O1 0.023 0.518 0.135
O2 0.056 0.713 0.993
O3 0.121 0.582 0.266
O4 0.141 0.375 0.661
O5 0.148 0.245 0.390
O6 0.150 0.038 0.538
O7 0.217 0.750 0.411
O8 0.218 0.835 0.683
O9 0.288 0.329 0.912
O10 0.303 0.261 0.191
O11 0.339 0.058 0.044
O12 0.348 0.840 0.892
O13 0.350 0.505 0.768
O14 0.358 0.724 0.169
O15 0.454 0.367 0.489
O16 0.491 0.546 0.640
O17 0.509 0.046 0.360
O18 0.546 0.867 0.511
O19 0.642 0.224 0.831
O20 0.650 0.005 0.232
O21 0.652 0.340 0.108
O22 0.661 0.558 0.956
O23 0.697 0.761 0.809
O24 0.712 0.829 0.088
O25 0.782 0.335 0.317
O26 0.783 0.250 0.589
O27 0.850 0.538 0.462
O28 0.852 0.745 0.610
O29 0.859 0.875 0.339
O30 0.879 0.082 0.734
O31 0.944 0.213 0.007
O32 0.977 0.018 0.865

=====

A relaxed Na6Nb8P5O35 crystal. Source: OQMD, functional GGA-PBE.

Values from the calculation:
Total DFT energy (no corrections) in eV per atom: -7.7694
Calculated density in Mg/m³: 3.8
Total moment in μB per atom: 0.0184

a b c (Å): 11.272 11.272 11.272
angles (deg): 46.61 46.61 46.61
Positions (direct):
Na1 0.000 0.582 0.418
Na2 0.285 0.715 0.500
Na3 0.418 0.000 0.582
Na4 0.500 0.285 0.715
Na5 0.582 0.418 0.000
Na6 0.715 0.500 0.285
Nb1 0.075 0.297 0.819
Nb2 0.181 0.703 0.925
Nb3 0.237 0.237 0.237
Nb4 0.297 0.819 0.075
Nb5 0.703 0.925 0.181
Nb6 0.763 0.763 0.763
Nb7 0.819 0.075 0.297
Nb8 0.925 0.181 0.703
P1 0.062 0.500 0.938
P2 0.403 0.403 0.403
P3 0.500 0.938 0.062
P4 0.597 0.597 0.597
P5 0.938 0.062 0.500
O1 0.000 0.223 0.777
O2 0.048 0.392 0.131
O3 0.055 0.898 0.259
O4 0.068 0.300 0.438
O5 0.102 0.945 0.741
O6 0.131 0.048 0.392
O7 0.161 0.618 0.824
O8 0.176 0.382 0.839
O9 0.223 0.777 0.000
O10 0.259 0.055 0.898
O11 0.281 0.300 0.566
O12 0.300 0.438 0.068
O13 0.300 0.566 0.281
O14 0.382 0.839 0.176
O15 0.392 0.131 0.048
O16 0.434 0.700 0.719
O17 0.438 0.068 0.300
O18 0.453 0.453 0.453
O19 0.547 0.547 0.547
O20 0.562 0.700 0.932
O21 0.566 0.281 0.300
O22 0.608 0.952 0.869
O23 0.618 0.824 0.161
O24 0.700 0.719 0.434
O25 0.700 0.932 0.562
O26 0.719 0.434 0.700
O27 0.741 0.102 0.945
O28 0.777 0.000 0.223
O29 0.824 0.161 0.618
O30 0.839 0.176 0.382
O31 0.869 0.608 0.952
O32 0.898 0.259 0.055
O33 0.932 0.562 0.700
O34 0.945 0.741 0.102
O35 0.952 0.869 0.608

=====

A relaxed Na2Nb2P6O21 crystal. Source: OQMD, functional GGA-PBE.

Values from the calculation:
Total DFT energy (no corrections) in eV per atom: -7.4153
Calculated density in Mg/m³: 3.0
Total moment in μB per atom: 0.0001

a b c (Å): 8.818 8.818 12.478
angles (deg): 90.00 90.00 120.00
Positions (direct):
Na1 0.000 0.000 0.000
Na2 0.000 0.000 0.250
Na3 0.000 0.000 0.500
Na4 0.000 0.000 0.750
Nb1 0.333 0.667 0.040
Nb2 0.333 0.667 0.460
Nb3 0.667 0.333 0.540
Nb4 0.667 0.333 0.960
P1 0.037 0.672 0.635
P2 0.037 0.672 0.865
P3 0.328 0.365 0.635
P4 0.328 0.365 0.865
P5 0.365 0.037 0.135
P6 0.365 0.037 0.365
P7 0.635 0.963 0.635
P8 0.635 0.963 0.865
P9 0.672 0.635 0.135
P10 0.672 0.635 0.365
P11 0.963 0.328 0.135
P12 0.963 0.328 0.365
O1 0.079 0.856 0.625
O2 0.079 0.856 0.875
O3 0.091 0.630 0.750
O4 0.136 0.617 0.558
O5 0.136 0.617 0.942
O6 0.144 0.222 0.625
O7 0.144 0.222 0.875
O8 0.162 0.466 0.126
O9 0.162 0.466 0.374
O10 0.222 0.079 0.125
O11 0.222 0.079 0.375
O12 0.304 0.838 0.126
O13 0.304 0.838 0.374
O14 0.370 0.461 0.750
O15 0.383 0.519 0.558
O16 0.383 0.519 0.942
O17 0.461 0.091 0.250
O18 0.466 0.304 0.626
O19 0.466 0.304 0.874
O20 0.481 0.864 0.558
O21 0.481 0.864 0.942
O22 0.519 0.136 0.058
O23 0.519 0.136 0.442
O24 0.534 0.696 0.126
O25 0.534 0.696 0.374
O26 0.539 0.909 0.750
O27 0.617 0.481 0.058
O28 0.617 0.481 0.442
O29 0.630 0.539 0.250
O30 0.696 0.162 0.626
O31 0.696 0.162 0.874
O32 0.778 0.921 0.625
O33 0.778 0.921 0.875
O34 0.838 0.534 0.626
O35 0.838 0.534 0.874
O36 0.856 0.778 0.125
O37 0.856 0.778 0.375
O38 0.864 0.383 0.058
O39 0.864 0.383 0.442
O40 0.909 0.370 0.250
O41 0.921 0.144 0.125
O42 0.921 0.144 0.375

=====

A relaxed Na2Nb4Se4O19 crystal. Source: OQMD, functional GGA-PBE.

Values from the calculation:
Total DFT energy (no corrections) in eV per atom: -6.9877
Calculated density in Mg/m³: 4.2
Total moment in μB per atom: 0.0001

a b c (Å): 3.928 10.169 10.890
angles (deg): 74.22 89.77 81.66
Positions (direct):
Na1 0.219 0.441 0.139
Na2 0.781 0.559 0.861
Nb1 0.333 0.320 0.703
Nb2 0.431 0.054 0.316
Nb3 0.569 0.946 0.684
Nb4 0.667 0.680 0.297
Se1 0.278 0.783 0.989
Se2 0.341 0.680 0.585
Se3 0.659 0.320 0.415
Se4 0.722 0.217 0.011
O1 0.044 0.923 0.695
O2 0.138 0.668 0.294
O3 0.242 0.634 0.955
O4 0.291 0.532 0.701
O5 0.348 0.383 0.508
O6 0.380 0.263 0.326
O7 0.385 0.278 0.892
O8 0.434 0.142 0.122
O9 0.457 0.131 0.699
O10 0.500 0.000 0.500
O11 0.543 0.869 0.301
O12 0.566 0.858 0.878
O13 0.615 0.722 0.108
O14 0.620 0.737 0.674
O15 0.652 0.617 0.492
O16 0.709 0.468 0.299
O17 0.758 0.366 0.045
O18 0.862 0.332 0.706
O19 0.956 0.077 0.305

=====

A relaxed Na2NbSeO6 crystal. Source: OQMD, functional GGA-PBE.

Values from the calculation:
Total DFT energy (no corrections) in eV per atom: -6.1785
Calculated density in Mg/m³: 4.7
Total moment in μB per atom: 0.0010

a b c (Å): 5.358 5.440 9.326
angles (deg): 90.00 125.00 90.00
Positions (direct):
Na1 0.241 0.038 0.249
Na2 0.241 0.462 0.749
Na3 0.759 0.538 0.251
Na4 0.759 0.962 0.751
Nb1 0.500 0.000 0.000
Nb2 0.500 0.500 0.500
Se1 0.000 0.000 0.500
Se2 0.000 0.500 0.000
O1 0.160 0.214 0.959
O2 0.160 0.286 0.459
O3 0.247 0.702 0.959
O4 0.247 0.798 0.459
O5 0.324 0.017 0.744
O6 0.324 0.483 0.244
O7 0.676 0.517 0.756
O8 0.676 0.983 0.256
O9 0.753 0.202 0.541
O10 0.753 0.298 0.041
O11 0.840 0.714 0.541
O12 0.840 0.786 0.041

=====

A relaxed Na2Nb2SeO3 crystal. Source: OQMD, functional GGA-PBE.

Values from the calculation:
Total DFT energy (no corrections) in eV per atom: -6.8498
Calculated density in Mg/m³: 5.6
Total moment in μB per atom: 0.0001

a b c (Å): 3.083 3.083 12.909
angles (deg): 90.00 90.00 120.00
Positions (direct):
Na1 0.000 0.000 0.000
Na2 0.000 0.000 0.458
Nb1 0.000 0.000 0.232
Nb2 0.000 0.000 0.773
Se1 0.333 0.667 0.633
O1 0.333 0.667 0.876
O2 0.667 0.333 0.132
O3 0.667 0.333 0.334